Computed, not measured: MgAlIn2 after structural relaxation at the PBE level of DFT.

Lattice parameters (Å, degrees): 5.109 5.109 5.109 60.00 60.00 60.00
Atoms (fractional coordinates):
Mg (0.750, 0.750, 0.750)
In (0.250, 0.250, 0.250)
In (0.000, 0.000, 0.000)
Al (0.500, 0.500, 0.500)

Space group ... F-43m (216)

=====

Computed, not measured: Eu2Mg after structural relaxation at the PBE level of DFT.

Lattice parameters (Å, degrees): 9.239 9.239 5.881 90.00 90.00 154.63
Each line ends with the local moment (μB).
Atoms (fractional coordinates):
Eu (0.238, 0.762, 0.750)  -7.03
Eu (0.926, 0.074, 0.750)  6.90
Eu (0.762, 0.238, 0.250)  -7.03
Eu (0.074, 0.926, 0.250)  6.90
Mg (0.586, 0.414, 0.750)  0.00
Mg (0.414, 0.586, 0.250)  0.00

Space group ... Cmcm (63)

=====

Computed, not measured: ZrCd3Ag4 after structural relaxation at the PBE level of DFT.

Lattice parameters (Å, degrees): 4.969 6.439 9.808 90.00 90.00 90.00
Atoms (fractional coordinates):
Ag (0.500, 0.251, 0.000)
Ag (0.094, 0.748, 0.750)
Ag (0.906, 0.748, 0.250)
Ag (0.906, 0.252, 0.250)
Ag (0.500, 0.749, 0.000)
Ag (0.500, 0.251, 0.500)
Ag (0.094, 0.252, 0.750)
Ag (0.500, 0.749, 0.500)
Cd (0.406, 0.000, 0.250)
Cd (0.587, 0.500, 0.750)
Cd (0.413, 0.500, 0.250)
Cd (0.000, 0.000, 0.000)
Cd (0.594, 0.000, 0.750)
Cd (0.000, 0.000, 0.500)
Zr (0.000, 0.500, 0.000)
Zr (0.000, 0.500, 0.500)

Space group ... Pmma (51)

=====

Computed, not measured: Cs3PIr after structural relaxation at the PBE level of DFT.

Lattice parameters (Å, degrees): 6.033 6.033 6.033 90.00 90.00 90.00
Each line ends with the local moment (μB).
Atoms (fractional coordinates):
Cs (0.000, 0.000, 0.500)  0.00
Cs (0.500, 0.000, 0.000)  0.01
Cs (0.000, 0.500, 0.000)  0.01
Ir (0.000, 0.000, 0.000)  0.16
P (0.500, 0.500, 0.500)  0.57

Space group ... Pm-3m (221)

=====

Computed, not measured: AcTmPd6 after structural relaxation at the PBE level of DFT.

Lattice parameters (Å, degrees): 4.240 4.240 8.290 90.00 90.00 90.00
Atoms (fractional coordinates):
Pd (0.000, 0.500, 0.265)
Pd (0.500, 0.500, 0.000)
Pd (0.500, 0.500, 0.500)
Pd (0.500, 0.000, 0.265)
Pd (0.500, 0.000, 0.735)
Pd (0.000, 0.500, 0.735)
Tm (0.000, 0.000, 0.500)
Ac (0.000, 0.000, 0.000)

Space group ... P4/mmm (123)

=====

| no. | electronic total energy (eV per atom) | calculated density (g/cm3) |
| --- | --- | --- |
| 1 | -2.565 | 4.9 |
| 2 | -7.406 | 5.1 |
| 3 | -2.854 | 9.1 |
| 4 | -2.552 | 4.7 |
| 5 | -5.776 | 11.5 |